Record 1
A relaxed Nd8Sm3Y crystal, computed with PBE.

Computed properties:
Its magnetization is 0.0 μB per formula unit. For the formation energy, the calculation gives 566.2 meV per atom.

```
Nd8Sm3Y
1.0
7.710 -0.501 -3.666
-4.508 7.167 -1.200
-0.315 0.501 8.531
Nd Sm Y
8 3 1
direct
0.000 0.252 0.752
0.501 0.748 0.748
0.000 0.625 0.874
0.000 0.752 0.252
0.499 0.248 0.248
0.249 0.375 0.375
0.000 0.874 0.625
0.751 0.126 0.126
0.000 0.500 0.500
0.500 0.750 0.250
0.500 0.250 0.750
0.000 0.000 0.000
```

Record 2
A relaxed Nd2Sm5Y2 crystal, computed with PBE.

Computed properties:
The energy relative to the lowest polymorph listed for this composition comes out at 0 meV per atom. Its magnetization is 0.0 μB per formula unit. For the formation energy, the calculation gives 141.9 meV per atom.

```
Nd2Sm5Y2
1.0
3.517 -0.001 -0.002
-1.754 12.031 1.176
0.001 4.171 7.724
Sm Y Nd
5 2 2
direct
0.220 0.439 0.208
0.944 0.887 0.444
0.780 0.561 0.792
0.000 0.000 0.000
0.056 0.113 0.556
0.177 0.354 0.676
0.823 0.646 0.324
0.398 0.796 0.869
0.602 0.204 0.131
```

Record 3
A relaxed Nd3Sm6Y2 crystal, computed with PBE.

Computed properties:
The energy relative to the lowest polymorph listed for this composition comes out at 259 meV per atom. Its magnetization is 0.0 μB per formula unit. For the formation energy, the calculation gives 272.0 meV per atom.

```
Nd3Sm6Y2
1.0
4.820 0.000 0.000
0.000 4.820 0.000
-2.410 -2.410 16.922
Sm Nd Y
6 3 2
direct
0.121 0.621 0.242
0.379 0.879 0.758
0.621 0.121 0.242
0.879 0.379 0.758
0.303 0.303 0.606
0.697 0.697 0.394
0.000 0.000 0.000
0.799 0.799 0.597
0.201 0.201 0.403
0.546 0.546 0.092
0.454 0.454 0.908
```

Record 4
A relaxed Nd5Sm2Y12 crystal, computed with PBE.

Computed properties:
The energy relative to the lowest polymorph listed for this composition comes out at 124 meV per atom. Its magnetization is 0.0 μB per formula unit. For the formation energy, the calculation gives 214.0 meV per atom.

```
Nd5Sm2Y12
1.0
8.256 0.000 0.000
-4.128 8.617 2.988
0.000 -0.072 9.109
Y Nd Sm
12 5 2
direct
0.938 0.278 0.137
0.611 0.695 0.472
0.916 0.305 0.528
0.340 0.278 0.137
0.084 0.695 0.472
0.660 0.722 0.863
0.389 0.305 0.528
0.062 0.722 0.863
0.948 0.896 0.174
0.515 0.030 0.321
0.052 0.104 0.826
0.485 0.970 0.679
0.000 0.000 0.500
0.302 0.604 0.193
0.698 0.396 0.807
0.755 0.511 0.222
0.245 0.489 0.778
0.326 0.000 0.000
0.674 0.000 0.000
```

Record 5
A relaxed NdSm2Y12 crystal, computed with PBE.

Computed properties:
Its magnetization is 0.0 μB per formula unit. For the formation energy, the calculation gives 169.8 meV per atom.

```
NdSm2Y12
1.0
6.540 1.532 0.000
1.532 6.540 0.000
0.000 0.000 24.927
Y Nd Sm
24 2 4
direct
0.263 0.763 0.561
0.500 0.500 0.200
0.249 0.749 0.922
0.751 0.251 0.922
0.763 0.263 0.439
0.240 0.260 0.585
0.251 0.249 0.871
0.749 0.751 0.871
0.500 0.500 0.328
0.000 0.000 0.328
0.000 0.000 0.672
0.000 0.000 0.200
0.000 0.000 0.800
0.237 0.737 0.439
0.500 0.500 0.672
0.500 0.500 0.800
0.740 0.760 0.415
0.749 0.249 0.078
0.737 0.237 0.561
0.251 0.751 0.078
0.260 0.240 0.415
0.249 0.251 0.129
0.760 0.740 0.585
0.751 0.749 0.129
0.500 0.000 0.000
0.000 0.500 0.000
0.000 0.500 0.733
0.500 0.000 0.267
0.500 0.000 0.730
0.000 0.500 0.270
```

Record 6
A relaxed Nd5Sm7Y crystal, computed with PBE.

Computed properties:
Its magnetization is 0.0 μB per formula unit. For the formation energy, the calculation gives 234.3 meV per atom.

```
Nd5Sm7Y
1.0
6.857 0.000 0.000
3.428 8.173 0.238
3.428 0.211 8.173
Y Nd Sm
1 5 7
direct
0.032 0.968 0.968
0.995 0.004 0.551
0.995 0.551 0.004
0.450 0.004 0.551
0.450 0.551 0.004
0.757 0.743 0.743
0.981 0.696 0.342
0.242 0.258 0.258
0.981 0.342 0.696
0.725 0.275 0.275
0.424 0.576 0.576
0.484 0.845 0.187
0.484 0.187 0.845
```

> Which value of magnetization does entry 3 give?

0.0 μB per formula unit

> magnetization of number 2 (Nd2Sm5Y2)?

0.0 μB per formula unit